No. 1
BaFeNi: optimized geometry, GGA-PBE.

Structure (POSCAR):
```
BaFeNi
1.0
6.774 0.000 0.000
0.000 6.774 0.000
0.000 0.000 6.774
Ba Fe Ni
4 4 4
Cartesian
0.000 0.000 0.000 Ba
0.000 3.387 3.387 Ba
3.387 0.000 3.387 Ba
3.387 3.387 0.000 Ba
0.000 0.000 3.387 Fe
0.000 3.387 0.000 Fe
3.387 0.000 0.000 Fe
3.387 3.387 3.387 Fe
1.693 1.693 5.080 Ni
1.693 5.080 1.693 Ni
5.080 1.693 1.693 Ni
5.080 5.080 5.080 Ni
```

Calculated values
- Relative energy among the computed polymorphs: 511 meV per atom
- Calculated volume: 25.90 A^3/atom
- Magnetization: 3.6 μB per formula unit
- Space group: F-43m, No. 216
- Calculated formation energy: 0.858 eV per atom

***

No. 2
NiTe4Cl: optimized geometry, GGA-PBE.

Structure (POSCAR):
```
NiTe4Cl
1.0
10.961 -3.337 0.000
10.961 3.337 0.000
-0.012 0.000 4.922
Ni Te Cl
2 8 2
Cartesian
1.087 0.000 1.632 Ni
20.822 0.000 3.290 Ni
8.500 1.680 1.984 Te
3.871 0.000 0.975 Te
10.961 1.750 0.000 Te
13.409 1.680 2.938 Te
8.500 -1.680 1.984 Te
10.961 -1.750 0.000 Te
18.038 0.000 3.947 Te
13.409 -1.680 2.938 Te
6.054 0.000 4.453 Cl
15.855 0.000 0.469 Cl
```

Calculated values
- Relative energy among the computed polymorphs: 0 meV per atom
- Formation energy without anion corrections: -0.063 eV per atom
- Calculated volume: 30.00 A^3/atom
- Magnetization: 0.0 μB per formula unit
- Space group: C2/m, No. 12

***

No. 3
CaAu2S: optimized geometry, GGA-PBE.

Structure (POSCAR):
```
CaAu2S
1.0
3.914 0.000 0.000
0.000 3.914 0.000
0.000 0.000 22.797
Ca Au S
4 8 4
Cartesian
0.000 0.000 0.000 Ca
0.000 1.957 5.699 Ca
1.957 0.000 17.098 Ca
1.957 1.957 11.398 Ca
0.980 0.978 2.850 Au
0.976 0.978 14.248 Au
0.978 2.937 8.549 Au
0.978 2.933 19.947 Au
2.935 0.976 8.549 Au
2.935 0.980 19.947 Au
2.933 2.935 2.850 Au
2.937 2.935 14.248 Au
0.000 0.000 11.398 S
0.000 1.957 17.098 S
1.957 0.000 5.699 S
1.957 1.957 0.000 S
```

Calculated values
- Formation energy without anion corrections: -0.732 eV per atom
- Calculated volume: 21.82 A^3/atom
- Magnetization: 0.0 μB per formula unit
- Space group: I-42d, No. 122

***

No. 4
NaSrPr: optimized geometry, GGA-PBE.

Structure (POSCAR):
```
NaSrPr
1.0
3.814 0.000 0.000
0.000 3.814 0.000
0.000 0.000 17.042
Na Sr Pr
2 2 2
Cartesian
0.000 0.000 0.000 Na
1.907 1.907 8.521 Na
0.000 0.000 11.490 Sr
1.907 1.907 2.968 Sr
0.000 0.000 5.875 Pr
1.907 1.907 14.396 Pr
```

Calculated values
- Relative energy among the computed polymorphs: 122 meV per atom
- Calculated volume: 41.31 A^3/atom
- Magnetization: 0.0 μB per formula unit
- Space group: I4mm, No. 107
- Calculated formation energy: 0.173 eV per atom

***

No. 5
Pm3Nd2Er5: optimized geometry, GGA-PBE.

Structure (POSCAR):
```
Pm3Nd2Er5
1.0
-4.723 10.932 3.410
4.723 -10.932 3.410
4.723 10.932 -3.410
Pm Nd Er
6 4 10
Cartesian
7.062 2.882 0.000 Pm
0.000 0.000 1.705 Pm
2.339 8.050 0.000 Pm
2.384 2.882 3.410 Pm
0.000 0.000 5.115 Pm
-2.339 8.050 3.410 Pm
0.971 2.767 0.000 Nd
5.695 8.165 0.000 Nd
-0.971 2.767 3.410 Nd
3.752 8.165 3.410 Nd
4.723 -5.424 1.705 Er
3.913 2.725 0.000 Er
4.723 0.000 1.705 Er
3.913 -2.725 3.410 Er
4.723 5.424 1.705 Er
0.000 5.509 1.705 Er
0.810 13.657 0.000 Er
0.000 10.932 1.705 Er
0.810 8.208 3.410 Er
0.000 16.356 1.705 Er
```

Calculated values
- Relative energy among the computed polymorphs: 211 meV per atom
- Calculated volume: 35.22 A^3/atom
- Magnetization: 0.0 μB per formula unit
- Space group: Ibam, No. 72
- Calculated formation energy: 0.393 eV per atom

***

No. 6
TbVBi: optimized geometry, GGA-PBE.

Structure (POSCAR):
```
TbVBi
1.0
3.462 0.000 0.000
0.000 4.568 0.000
1.684 1.311 10.038
Tb V Bi
2 2 2
Cartesian
0.824 1.340 2.979 Tb
4.321 4.539 7.059 Tb
2.293 3.693 4.494 V
2.853 2.186 5.544 V
2.584 2.272 8.580 Bi
2.562 3.607 1.458 Bi
```

Calculated values
- Calculated volume: 26.46 A^3/atom
- Magnetization: 0.0 μB per formula unit
- Space group: P-1, No. 2
- Calculated formation energy: -0.023 eV per atom

***

- Look up the magnetization of the third one.
  0.0 μB per formula unit